(1)
HfCo4Hg | PBE | relaxed

Values from the calculation:
SG: F-43m
Formation enthalpy at 0 K, eV per atom: -0.112

a b c (Å): 4.8764 4.8764 4.8764
angles (deg): 60.00 60.00 60.00
Closest atoms and distances in Å follow each position.
Positions (direct):
Hf (0.0000, 0.0000, 0.0000)  12 Co 2.86, 4 Hg 2.99
Co (0.1247, 0.6251, 0.6251)  6 Co 2.44
Co (0.6251, 0.1247, 0.6251)  6 Co 2.44
Co (0.6251, 0.6251, 0.1247)  6 Co 2.44
Co (0.6251, 0.6251, 0.6251)  6 Co 2.44
Hg (0.2500, 0.2500, 0.2500)  12 Co 2.86, 4 Hf 2.99



(2)
Mn2GaOsC | PBE | relaxed

Values from the calculation:
SG: P4/mmm
Formation enthalpy at 0 K, eV per atom: 0.027

a b c (Å): 3.8378 3.8378 4.0438
angles (deg): 90.00 90.00 90.00
Closest atoms and distances in Å follow each position.
Positions (direct):
Mn (0.0000, 0.5000, 0.0000)  2 C 1.92
Mn (0.5000, 0.0000, 0.0000)  2 C 1.92
Ga (0.0000, 0.0000, 0.5000)  4 Os 2.71, 8 Mn 2.79
Os (0.5000, 0.5000, 0.5000)  2 C 2.02
C (0.5000, 0.5000, 0.0000)  4 Mn 1.92, 2 Os 2.02



(3)
ZnBiTe2I | PBE | relaxed

Values from the calculation:
Uncorrected formation energy, meV per atom: 450
Relative energy among the computed polymorphs, eV per atom: 0.211
SG: P4/mmm

a b c (Å): 5.9932 5.9932 6.1226
angles (deg): 90.00 90.00 90.00
Closest atoms and distances in Å follow each position.
Positions (direct):
Zn (0.0000, 0.0000, 0.0000)  4 I 4.24, 8 Te 4.28
Bi (0.5000, 0.5000, 0.5000)  4 Te 3.00, 2 I 3.06
Te (0.0000, 0.5000, 0.5000)  2 Bi 3.00
Te (0.5000, 0.0000, 0.5000)  2 Bi 3.00
I (0.5000, 0.5000, 0.0000)  2 Bi 3.06



(4)
Dy3Mg12Sc | PBE | relaxed

Values from the calculation:
SG: P4/mmm
Formation enthalpy at 0 K, eV per atom: -0.054

a b c (Å): 4.6015 4.6015 18.7312
angles (deg): 90.00 90.00 90.00
Closest atoms and distances in Å follow each position.
Positions (direct):
Dy (0.0000, 0.0000, 0.0000)  12 Mg 3.25-3.31
Dy (0.0000, 0.0000, 0.2546)  12 Mg 3.25-3.31
Dy (0.0000, 0.0000, 0.7454)  12 Mg 3.25-3.31
Mg (0.0000, 0.5000, 0.1272)  8 Mg 3.25-3.31, 4 Dy 3.31
Mg (0.0000, 0.5000, 0.3810)  8 Mg 3.20-3.30, 2 Sc 3.20, 2 Dy 3.30
Mg (0.0000, 0.5000, 0.6190)  8 Mg 3.20-3.30, 2 Sc 3.20, 2 Dy 3.30
Mg (0.0000, 0.5000, 0.8728)  8 Mg 3.25-3.31, 4 Dy 3.31
Mg (0.5000, 0.0000, 0.1272)  8 Mg 3.25-3.31, 4 Dy 3.31
Mg (0.5000, 0.0000, 0.3810)  8 Mg 3.20-3.30, 2 Sc 3.20, 2 Dy 3.30
Mg (0.5000, 0.0000, 0.6190)  8 Mg 3.20-3.30, 2 Sc 3.20, 2 Dy 3.30
Mg (0.5000, 0.0000, 0.8728)  8 Mg 3.25-3.31, 4 Dy 3.31
Mg (0.5000, 0.5000, 0.0000)  4 Dy 3.25, 8 Mg 3.31
Mg (0.5000, 0.5000, 0.2544)  4 Dy 3.25, 8 Mg 3.30-3.31
Mg (0.5000, 0.5000, 0.5000)  8 Mg 3.20, 4 Sc 3.25
Mg (0.5000, 0.5000, 0.7456)  4 Dy 3.25, 8 Mg 3.30-3.31
Sc (0.0000, 0.0000, 0.5000)  12 Mg 3.20-3.25



What did the third record say?
ZnBiTe2I | PBE | relaxed

Values from the calculation:
Uncorrected formation energy, meV per atom: 450
Relative energy among the computed polymorphs, eV per atom: 0.211
SG: P4/mmm

a b c (Å): 5.9932 5.9932 6.1226
angles (deg): 90.00 90.00 90.00
Closest atoms and distances in Å follow each position.
Positions (direct):
Zn (0.0000, 0.0000, 0.0000)  4 I 4.24, 8 Te 4.28
Bi (0.5000, 0.5000, 0.5000)  4 Te 3.00, 2 I 3.06
Te (0.0000, 0.5000, 0.5000)  2 Bi 3.00
Te (0.5000, 0.0000, 0.5000)  2 Bi 3.00
I (0.5000, 0.5000, 0.0000)  2 Bi 3.06